Run a
A relaxed CsTePb crystal, computed with GGA-PBE.

```
12
Lattice="9.121 0.000 0.000 0.000 4.532 0.000 -3.932 0.000 13.682" Properties=species:S:1:pos:R:3 pbc="T T T"
Pb -1.520 0.000 8.303
Pb 6.709 0.000 5.378
Pb 0.446 2.266 1.463
Pb 4.742 2.266 12.219
Cs 3.474 0.000 8.911
Cs 1.714 0.000 4.770
Cs 5.441 2.266 2.070
Cs -0.252 2.266 11.611
Te 2.769 0.000 12.777
Te 2.420 0.000 0.904
Te 4.736 2.266 5.936
Te 0.453 2.266 7.745
```

Calculated values
Space group ... C2/m

---

Run b
A relaxed CsTePb crystal, computed with GGA-PBE.

```
3
Lattice="5.487 0.000 0.000 0.000 5.457 0.000 0.000 -2.729 4.726" Properties=species:S:1:pos:R:3 pbc="T T T"
Pb 0.914 0.000 0.000
Cs 3.657 2.729 1.575
Te 0.916 0.000 3.151
```

Calculated values
Space group ... P-6m2

---

Which of them is the most stable, and which is the least stable? run a and run b, in that order.

---

Run a
A relaxed CsTePb crystal, computed with GGA-PBE.

```
6
Lattice="-2.535 -3.787 -0.750 4.232 -3.157 3.040 -4.786 2.950 8.513" Properties=species:S:1:pos:R:3 pbc="T T T"
Pb 1.354 -4.465 2.335
Pb -4.444 0.471 8.469
Cs -2.422 -2.353 3.123
Cs -0.668 -1.641 7.681
Te -4.432 -1.869 6.496
Te 1.342 -2.125 4.308
```

Calculated values
Space group ... P-1

---

Run b
A relaxed CsTePb crystal, computed with GGA-PBE.

```
6
Lattice="-1.785 1.684 -3.734 -1.551 -6.402 -2.144 -10.877 -1.596 1.431" Properties=species:S:1:pos:R:3 pbc="T T T"
Cs -4.016 -0.741 -3.944
Cs -9.342 -0.209 -1.683
Te -11.260 -3.372 -2.040
Te -4.392 -4.729 -2.952
Pb -8.545 -4.334 -1.135
Pb -7.110 -3.763 -3.871
```

Calculated values
Space group ... Cm

---

Run c
A relaxed CsTePb crystal, computed with GGA-PBE.

```
6
Lattice="5.740 0.000 0.000 1.997 6.612 0.000 0.225 2.056 8.356" Properties=species:S:1:pos:R:3 pbc="T T T"
Pb 1.389 1.442 5.470
Pb 4.086 2.653 6.567
Cs 6.511 5.496 7.662
Cs 6.220 6.662 2.799
Te 3.335 5.047 4.836
Te 3.416 6.254 0.096
```

Calculated values
Space group ... P1

---

Run d
A relaxed CsTePb crystal, computed with GGA-PBE.

```
6
Lattice="-0.800 3.144 5.416 -3.180 -2.577 4.811 6.185 -3.385 7.877" Properties=species:S:1:pos:R:3 pbc="T T T"
Pb -2.927 0.326 8.375
Pb 5.132 -3.144 9.730
Cs 1.177 -1.017 5.090
Cs 1.028 -1.800 13.014
Te -2.279 -0.259 11.512
Te 4.484 -2.558 6.593
```

Calculated values
Space group ... P-1

---

Which of them is the most stable, and which is the least stable? run a and run b, in that order.

---

Run a
A relaxed CsTePb crystal, computed with GGA-PBE.

```
6
Lattice="-1.008 -1.668 5.709 -5.082 -4.430 0.961 4.798 -6.070 2.221" Properties=species:S:1:pos:R:3 pbc="T T T"
Pb 2.691 -8.062 5.136
Pb 2.081 -6.489 2.300
Cs -1.573 -7.387 5.205
Cs -3.731 -5.833 2.080
Te -0.098 -4.386 3.127
Te -0.845 -10.554 7.890
```

Calculated values
Space group ... P1

---

Run b
A relaxed CsTePb crystal, computed with GGA-PBE.

```
12
Lattice="7.639 0.000 0.000 0.000 8.201 0.000 -4.311 0.000 9.827" Properties=species:S:1:pos:R:3 pbc="T T T"
Pb -0.706 1.521 4.308
Pb 4.034 1.521 5.519
Pb -2.862 5.622 9.221
Pb 6.189 5.622 0.605
Cs 1.710 0.803 1.390
Cs 1.617 0.803 8.437
Cs -0.445 4.904 6.303
Cs 3.773 4.904 3.523
Te 0.126 4.043 2.602
Te 3.202 4.043 7.224
Te -2.030 8.143 7.516
Te 5.358 8.143 2.311
```

Calculated values
Space group ... C2

---

Which of them is the most stable, and which is the least stable? run a and run b, in that order.